(1)
Compound: ThZn6
Source: the Alexandria database
Functional: GGA-PBE
Structure: relaxed

a b c (Å): 5.7738 5.7738 5.7738
angles (deg): 109.47 109.47 109.47
Last column: nearest neighbours and their distance in Å.
Atoms (fractional coordinates):
Th  0.0000  0.0000  0.0000  24 Zn 3.73
Zn  0.2500  0.5000  0.7500  4 Zn 2.36
Zn  0.2500  0.7500  0.5000  4 Zn 2.36
Zn  0.5000  0.2500  0.7500  4 Zn 2.36
Zn  0.5000  0.7500  0.2500  4 Zn 2.36
Zn  0.7500  0.2500  0.5000  4 Zn 2.36
Zn  0.7500  0.5000  0.2500  4 Zn 2.36

Results
The value obtained for the calculated formation energy is 185 kJ/mol of formula units. The calculation puts the volume at 148.17 Å³ per cell. The value obtained for the offset from the most stable computed form is 3.10 eV/f.u. The space-group type is Im-3m, No. 229.


(2)
Compound: BaTaPt3
Source: the Alexandria database
Functional: GGA-PBE
Structure: relaxed

a b c (Å): 5.0331 5.0331 5.0331
angles (deg): 90.00 90.00 90.00
Last column: nearest neighbours and their distance in Å.
Atoms (fractional coordinates):
Ba  0.0000  0.0000  0.0000  12 Pt 3.56
Ta  0.5000  0.5000  0.5000  6 Pt 2.52
Pt  0.0000  0.5000  0.5000  2 Ta 2.52
Pt  0.5000  0.0000  0.5000  2 Ta 2.52
Pt  0.5000  0.5000  0.0000  2 Ta 2.52

Results
The value obtained for the calculated formation energy is -79 kJ/mol of formula units. The calculation puts the volume at 127.50 Å³ per cell. The value obtained for the offset from the most stable computed form is 0.00 eV/f.u. The space-group type is Pm-3m, No. 221.


(3)
Compound: Ac3Al4Ag4
Source: the Alexandria database
Functional: GGA-PBE
Structure: relaxed

a b c (Å): 13.8515 13.8515 4.5153
angles (deg): 99.37 99.37 153.02
Last column: nearest neighbours and their distance in Å.
Atoms (fractional coordinates):
Ac  0.0000  0.0000  0.0000  8 Al 3.49, 4 Ag 3.50
Ac  0.3504  0.6496  0.5000  6 Al 3.49-3.53, 8 Ag 3.50-3.56
Ac  0.6496  0.3504  0.5000  6 Al 3.49-3.53, 8 Ag 3.50-3.56
Al  0.1987  0.8013  0.5000  5 Ag 2.65-2.69
Al  0.4512  0.5488  0.0000  1 Al 2.63, 2 Ag 2.68
Al  0.5488  0.4512  0.0000  1 Al 2.63, 2 Ag 2.68
Al  0.8013  0.1987  0.5000  5 Ag 2.65-2.69
Ag  0.0992  0.9008  0.5000  3 Al 2.68
Ag  0.2502  0.7498  0.0000  4 Al 2.65-2.69
Ag  0.7498  0.2502  0.0000  4 Al 2.65-2.69
Ag  0.9008  0.0992  0.5000  3 Al 2.68

Results
The value obtained for the calculated formation energy is -342 kJ/mol of formula units. The calculation puts the volume at 281.54 Å³ per cell. The value obtained for the offset from the most stable computed form is 0.00 eV/f.u. The space-group type is C2/m, No. 12.


(4)
Compound: CrIn2PtAu
Source: the Alexandria database
Functional: GGA-PBE
Structure: relaxed

a b c (Å): 5.1495 5.1495 4.5403
angles (deg): 90.00 90.00 90.00
Last column: nearest neighbours and their distance in Å.
Atoms (fractional coordinates):
Cr  0.0000  0.0000  0.0000  2 Pt 2.27
In  0.0000  0.5000  0.0000  2 Cr 2.57
In  0.5000  0.0000  0.0000  2 Cr 2.57
Pt  0.0000  0.0000  0.5000  2 Cr 2.27
Au  0.5000  0.5000  0.5000  8 In 3.43, 4 Pt 3.64

Results
The value obtained for the calculated formation energy is 323 kJ/mol of formula units. The calculation puts the volume at 120.40 Å³ per cell. The space-group type is P4/mmm, No. 123.


(5)
Compound: ScCd2Os
Source: the Alexandria database
Functional: GGA-PBE
Structure: relaxed

a b c (Å): 3.6244 3.6244 5.7665
angles (deg): 90.00 90.00 90.00
Last column: nearest neighbours and their distance in Å.
Atoms (fractional coordinates):
Sc  0.0000  0.0000  0.0000  2 Os 2.88, 8 Cd 2.97
Cd  0.5000  0.5000  0.2613  2 Cd 2.75-3.01, 4 Os 2.91, 4 Sc 2.97
Cd  0.5000  0.5000  0.7387  2 Cd 2.75-3.01, 4 Os 2.91, 4 Sc 2.97
Os  0.0000  0.0000  0.5000  2 Sc 2.88, 8 Cd 2.91

Results
The value obtained for the calculated formation energy is 94 kJ/mol of formula units. The calculation puts the volume at 75.75 Å³ per cell. The value obtained for the offset from the most stable computed form is 1.07 eV/f.u. The space-group type is P4/mmm, No. 123.


(6)
Compound: TeIrAu2
Source: the Alexandria database
Functional: GGA-PBE
Structure: relaxed

a b c (Å): 5.5709 5.5709 4.1016
angles (deg): 98.93 98.93 38.10
Last column: nearest neighbours and their distance in Å.
Atoms (fractional coordinates):
Te  0.0000  0.0000  0.0000  4 Ir 2.74, 2 Au 2.77
Ir  0.5000  0.5000  0.5000  4 Te 2.74, 4 Au 3.02
Au  0.2258  0.2258  0.7367  4 Au 2.77-2.81, 1 Te 2.77, 2 Ir 3.02
Au  0.7742  0.7742  0.2633  4 Au 2.77-2.81, 1 Te 2.77, 2 Ir 3.02

Results
The calculation puts the volume at 77.47 Å³ per cell. The value obtained for the raw formation energy is 0.37 eV per atom. The space-group type is C2/m, No. 12.


(7)
Compound: NdDyEr6
Source: the Alexandria database
Functional: GGA-PBE
Structure: relaxed

a b c (Å): 6.0468 6.0468 8.4856
angles (deg): 102.20 102.20 67.30
Last column: nearest neighbours and their distance in Å.
Atoms (fractional coordinates):
Nd  0.0000  0.0000  0.0000  10 Er 3.30-3.70
Dy  0.0000  0.0000  0.5000  8 Er 3.40-3.48
Er  0.0622  0.5432  0.6994  5 Er 3.22-3.49, 1 Nd 3.30, 2 Dy 3.40-3.48
Er  0.3741  0.3741  0.0761  5 Er 3.12-3.49
Er  0.4568  0.9378  0.3006  5 Er 3.22-3.49, 1 Nd 3.30, 2 Dy 3.40-3.48
Er  0.5432  0.0622  0.6994  5 Er 3.22-3.49, 1 Nd 3.30, 2 Dy 3.40-3.48
Er  0.6259  0.6259  0.9239  5 Er 3.12-3.49
Er  0.9378  0.4568  0.3006  5 Er 3.22-3.49, 1 Nd 3.30, 2 Dy 3.40-3.48

Results
The value obtained for the calculated formation energy is 289 kJ/mol of formula units. The calculation puts the volume at 276.85 Å³ per cell. The value obtained for the offset from the most stable computed form is 1.17 eV/f.u. The space-group type is C2/m, No. 12.


(8)
Compound: NdTm3Ru
Source: the Alexandria database
Functional: GGA-PBE
Structure: relaxed

a b c (Å): 5.3408 5.3408 5.3408
angles (deg): 90.00 90.00 90.00
Last column: nearest neighbours and their distance in Å.
Atoms (fractional coordinates):
Nd  0.0000  0.0000  0.0000  12 Tm 3.78
Tm  0.0000  0.5000  0.5000  2 Ru 2.67
Tm  0.5000  0.0000  0.5000  2 Ru 2.67
Tm  0.5000  0.5000  0.0000  2 Ru 2.67
Ru  0.5000  0.5000  0.5000  6 Tm 2.67

Results
The value obtained for the calculated formation energy is -61 kJ/mol of formula units. The calculation puts the volume at 152.34 Å³ per cell. The value obtained for the offset from the most stable computed form is 0.73 eV/f.u. The space-group type is Pm-3m, No. 221.


(9)
Compound: Mg3Ga5
Source: the Alexandria database
Functional: GGA-PBE
Structure: relaxed

a b c (Å): 10.9172 6.9094 9.3711
angles (deg): 82.74 38.89 58.37
Last column: nearest neighbours and their distance in Å.
Atoms (fractional coordinates):
Mg  0.0000  0.0000  0.0000  6 Ga 2.83-2.87
Mg  0.2500  0.2500  0.2500  6 Ga 2.83-2.87
Mg  0.3377  0.6614  0.3061  7 Ga 2.88-3.19
Mg  0.5551  0.9439  0.5886  7 Ga 2.88-3.19
Mg  0.6614  0.3377  0.6949  7 Ga 2.88-3.19
Mg  0.9439  0.5551  0.9123  7 Ga 2.88-3.19
Ga  0.0195  0.7698  0.3319  3 Ga 2.54-2.67, 1 Mg 2.83
Ga  0.1872  0.5008  0.9726  3 Ga 2.54-2.64
Ga  0.2774  0.9106  0.0628  3 Ga 2.54-2.64
Ga  0.3712  0.9181  0.4802  3 Ga 2.54-2.67, 1 Mg 2.83
Ga  0.4845  0.4845  0.5155  4 Ga 2.64-2.67, 2 Mg 2.87
Ga  0.5008  0.1872  0.3394  3 Ga 2.54-2.64
Ga  0.7345  0.7345  0.7655  4 Ga 2.64-2.67, 2 Mg 2.87
Ga  0.7698  0.0195  0.8788  3 Ga 2.54-2.67, 1 Mg 2.83
Ga  0.9106  0.2774  0.7492  3 Ga 2.54-2.64
Ga  0.9181  0.3712  0.2305  3 Ga 2.54-2.67, 1 Mg 2.83

Results
The value obtained for the calculated formation energy is -57 kJ/mol of formula units. The calculation puts the volume at 321.14 Å³ per cell. The space-group type is Fdd2, No. 43.


(10)
Compound: CsNaNi2
Source: the Alexandria database
Functional: GGA-PBE
Structure: relaxed

a b c (Å): 10.4984 10.4984 10.4984
angles (deg): 153.34 153.34 38.06
Last column: nearest neighbours and their distance in Å.
Atoms (fractional coordinates):
Cs  0.3750  0.6250  0.7500  4 Na 3.42, 8 Ni 3.67
Cs  0.6250  0.3750  0.2500  4 Na 3.42, 8 Ni 3.67
Na  0.1250  0.8750  0.2500  4 Ni 2.76
Na  0.8750  0.1250  0.7500  4 Ni 2.76
Ni  0.0000  0.0000  0.0000  2 Ni 2.42
Ni  0.0000  0.0000  0.5000  2 Ni 2.42
Ni  0.0000  0.5000  0.0000  2 Ni 2.42
Ni  0.5000  0.0000  0.5000  2 Ni 2.42

Results
The value obtained for the calculated formation energy is 298 kJ/mol of formula units. The calculation puts the volume at 232.56 Å³ per cell. The value obtained for the offset from the most stable computed form is 0.00 eV/f.u. The space-group type is I4_1/amd, No. 141.